PaBeCl, relaxed, DFT GGA-PBE; calculated volume = 25.36 Å³/atom; DOS(E_F) = 0.67 states/eV/f.u.; E_tot = -5.20 eV per atom; space-group type = C2/m (12)
1.0
4.2267 0.0000 0.0000
2.1133 3.5859 0.0572
2.1133 0.3173 10.0430
Be Cl Pa
2 2 2
direct
0.4494 0.6723 0.4290
0.5506 0.3277 0.5710
0.7459 0.6854 0.8229
0.2541 0.3146 0.1771
0.8477 0.9689 0.3357
0.1523 0.0311 0.6643